No. 1
## Nd3Ho3NiTe2 (GGA-PBE)

Data for a relaxed structure of Nd3Ho3NiTe2.

Cell lengths 8.6122, 8.6122, 3.9035 Å; angles 90.00, 90.00, 120.00 degrees
Space group P-62m (No. 189)
Symmetry-distinct sites (fractional):
Nd1 0.0000 0.7579 0.0000 [3 per cell]
Ho1 0.0000 0.4077 0.5000 [3 per cell]
Ni1 0.0000 0.0000 0.5000 [1 per cell]
Te1 0.3333 0.6667 0.0000 [2 per cell]

The crystal system is hexagonal.

---

No. 2
## Nd3Ho3NiTe2 (GGA-PBE)

Data for a relaxed structure of Nd3Ho3NiTe2.

Cell lengths 8.5155, 8.5155, 4.0124 Å; angles 90.00, 90.00, 120.00 degrees
Space group P-62m (No. 189)
Symmetry-distinct sites (fractional):
Nd1 0.0000 0.4061 0.0000 [3 per cell]
Ho1 0.0000 0.7661 0.5000 [3 per cell]
Ni1 0.0000 0.0000 0.0000 [1 per cell]
Te1 0.3333 0.6667 0.5000 [2 per cell]

The crystal system is hexagonal.

---

No. 3
## NdHoTlNi2 (GGA-PBE)

Data for a relaxed structure of NdHoTlNi2.

Cell lengths 3.715, 3.936, 14.599 Å; angles 90.00, 90.00, 90.00 degrees
Space group Amm2 (No. 38)
Symmetry-distinct sites (fractional):
Nd1 0.000 0.000 0.000 [2 per cell]
Ho1 0.000 0.000 0.723 [2 per cell]
Tl1 0.500 0.000 0.358 [2 per cell]
Ni1 0.500 0.000 0.164 [2 per cell]
Ni2 0.500 0.000 0.568 [2 per cell]

The crystal system is orthorhombic.

---

No. 4
## Nd2Ho2O5 (GGA-PBE)

Data for a relaxed structure of Nd2Ho2O5.

Cell lengths 4.321, 4.321, 7.644 Å; angles 90.00, 90.00, 90.00 degrees
Space group P4/mmm (No. 123)
Symmetry-distinct sites (fractional):
Nd1 0.000 0.000 0.000 [1 per cell]
Nd2 0.000 0.000 0.500 [1 per cell]
Ho1 0.500 0.500 0.227 [2 per cell]
O1 0.000 0.500 0.237 [4 per cell]
O2 0.500 0.500 0.500 [1 per cell]

The crystal system is tetragonal.

---

No. 5
## NdHoO4 (GGA-PBE)

Data for a relaxed structure of NdHoO4.

Cell lengths 6.780, 3.800, 6.254 Å; angles 90.00, 97.02, 90.00 degrees
Space group Cm (No. 8)
Symmetry-distinct sites (fractional):
Nd1 0.000 0.000 0.000 [2 per cell]
Ho1 0.123 0.500 0.539 [2 per cell]
O1 0.161 0.500 0.901 [2 per cell]
O2 0.221 0.000 0.343 [2 per cell]
O3 0.393 0.000 0.217 [2 per cell]
O4 0.458 0.500 0.612 [2 per cell]

The crystal system is monoclinic.

---

No. 6
## NdHo2O3 (GGA-PBE)

Data for a relaxed structure of NdHo2O3.

Cell lengths 3.4189, 3.4189, 8.4577 Å; angles 90.00, 90.00, 120.00 degrees
Space group P-3m1 (No. 164)
Symmetry-distinct sites (fractional):
Nd1 0.0000 0.0000 0.0000 [1 per cell]
Ho1 0.3333 0.6667 0.6640 [2 per cell]
O1 0.0000 0.0000 0.5000 [1 per cell]
O2 0.3333 0.6667 0.1972 [2 per cell]

The crystal system is trigonal.

---

No. 7
## Nd2Ho2O5 (GGA-PBE)

Data for a relaxed structure of Nd2Ho2O5.

Cell lengths 3.870, 3.870, 10.262 Å; angles 90.00, 90.00, 90.00 degrees
Space group P4/mmm (No. 123)
Symmetry-distinct sites (fractional):
Nd1 0.000 0.000 0.239 [2 per cell]
Ho1 0.500 0.500 0.000 [1 per cell]
Ho2 0.500 0.500 0.500 [1 per cell]
O1 0.000 0.000 0.500 [1 per cell]
O2 0.000 0.500 0.132 [4 per cell]

The crystal system is tetragonal.

---

No. 8
## Rb2NdHoO4 (GGA-PBE)

Data for a relaxed structure of Rb2NdHoO4.

Cell lengths 3.5366, 3.5366, 12.9610 Å; angles 90.00, 90.00, 120.00 degrees
Space group P-3m1 (No. 164)
Symmetry-distinct sites (fractional):
Rb1 0.3333 0.6667 0.2533 [2 per cell]
Nd1 0.0000 0.0000 0.0000 [1 per cell]
Ho1 0.0000 0.0000 0.5000 [1 per cell]
O1 0.3333 0.6667 0.5860 [2 per cell]
O2 0.3333 0.6667 0.9041 [2 per cell]

The crystal system is trigonal.

---

No. 9
## NdHoSO2 (GGA-PBE)

Data for a relaxed structure of NdHoSO2.

Cell lengths 3.8658, 3.8658, 6.6714 Å; angles 90.00, 90.00, 120.00 degrees
Space group P3m1 (No. 156)
Symmetry-distinct sites (fractional):
Nd1 0.0000 0.0000 0.0000 [1 per cell]
Ho1 0.6667 0.3333 0.4380 [1 per cell]
S1 0.3333 0.6667 0.7134 [1 per cell]
O1 0.0000 0.0000 0.3597 [1 per cell]
O2 0.6667 0.3333 0.1011 [1 per cell]

The crystal system is trigonal.

---

No. 10
## Nd2HoSbO6 (GGA-PBE)

Data for a relaxed structure of Nd2HoSbO6.

Cell lengths 5.233, 5.394, 5.786 Å; angles 104.69, 106.08, 101.53 degrees
Space group P-1 (No. 2)
Symmetry-distinct sites (fractional):
Nd1 0.239 0.236 0.001 [2 per cell]
Ho1 0.000 0.500 0.500 [1 per cell]
Sb1 0.500 0.000 0.500 [1 per cell]
O1 0.184 0.667 0.235 [2 per cell]
O2 0.220 0.203 0.413 [2 per cell]
O3 0.360 0.874 0.756 [2 per cell]

The crystal system is triclinic.

---

No. 11
## Nd2HoSbO6 (GGA-PBE)

Data for a relaxed structure of Nd2HoSbO6.

Cell lengths 5.787, 6.074, 10.228 Å; angles 90.00, 124.37, 90.00 degrees
Space group P2_1/c (No. 14)
Symmetry-distinct sites (fractional):
Nd1 0.232 0.060 0.251 [4 per cell]
Ho1 0.500 0.000 0.000 [2 per cell]
Sb1 0.000 0.000 0.500 [2 per cell]
O1 0.116 0.188 0.926 [4 per cell]
O2 0.246 0.691 0.928 [4 per cell]
O3 0.398 0.069 0.755 [4 per cell]

The crystal system is monoclinic.

---

No. 12
## NdHoTeO2 (GGA-PBE)

Data for a relaxed structure of NdHoTeO2.

Cell lengths 3.968, 3.968, 12.622 Å; angles 90.00, 90.00, 90.00 degrees
Space group I4mm (No. 107)
Symmetry-distinct sites (fractional):
Nd1 0.000 0.000 0.000 [2 per cell]
Ho1 0.000 0.000 0.679 [2 per cell]
Te1 0.000 0.000 0.341 [2 per cell]
O1 0.000 0.500 0.098 [4 per cell]

The crystal system is tetragonal.

---

No. 13
## NdHoOs (GGA-PBE)

Data for a relaxed structure of NdHoOs.

Cell lengths 6.730, 6.730, 6.730 Å; angles 90.00, 90.00, 90.00 degrees
Space group F-43m (No. 216)
Symmetry-distinct sites (fractional):
Nd1 0.000 0.000 0.000 [4 per cell]
Ho1 0.250 0.250 0.250 [4 per cell]
Os1 0.000 0.000 0.500 [4 per cell]

The crystal system is cubic.

---

No. 14
## NdHoSi4Os2 (GGA-PBE)

Data for a relaxed structure of NdHoSi4Os2.

Cell lengths 4.455, 4.116, 8.190 Å; angles 90.00, 101.97, 90.00 degrees
Space group Pm (No. 6)
Symmetry-distinct sites (fractional):
Nd1 0.000 0.000 0.000 [1 per cell]
Ho1 0.821 0.500 0.595 [1 per cell]
Si1 0.082 0.500 0.298 [1 per cell]
Si2 0.378 0.000 0.710 [1 per cell]
Si3 0.453 0.500 0.891 [1 per cell]
Si4 0.751 0.000 0.309 [1 per cell]
Os1 0.301 0.000 0.418 [1 per cell]
Os2 0.534 0.500 0.188 [1 per cell]

The crystal system is monoclinic.

---

No. 15
## Nd3Ho3Te2Os (GGA-PBE)

Data for a relaxed structure of Nd3Ho3Te2Os.

Cell lengths 8.4434, 8.4434, 4.1020 Å; angles 90.00, 90.00, 120.00 degrees
Space group P-62m (No. 189)
Symmetry-distinct sites (fractional):
Nd1 0.0000 0.3980 0.0000 [3 per cell]
Ho1 0.0000 0.7669 0.5000 [3 per cell]
Te1 0.3333 0.6667 0.5000 [2 per cell]
Os1 0.0000 0.0000 0.0000 [1 per cell]

The crystal system is hexagonal.

---

No. 16
## Nd3Ho3Te2Os (GGA-PBE)

Data for a relaxed structure of Nd3Ho3Te2Os.

Cell lengths 8.5330, 8.5330, 4.0058 Å; angles 90.00, 90.00, 120.00 degrees
Space group P-62m (No. 189)
Symmetry-distinct sites (fractional):
Nd1 0.0000 0.7546 0.0000 [3 per cell]
Ho1 0.0000 0.3970 0.5000 [3 per cell]
Te1 0.3333 0.6667 0.0000 [2 per cell]
Os1 0.0000 0.0000 0.5000 [1 per cell]

The crystal system is hexagonal.

---

No. 17
## Nd3Ho2TmTe2Os (GGA-PBE)

Data for a relaxed structure of Nd3Ho2TmTe2Os.

Cell lengths 4.114, 14.584, 8.412 Å; angles 90.00, 90.00, 90.00 degrees
Space group Amm2 (No. 38)
Symmetry-distinct sites (fractional):
Nd1 0.000 0.000 0.000 [2 per cell]
Nd2 0.000 0.199 0.403 [4 per cell]
Ho1 0.500 0.116 0.719 [4 per cell]
Tm1 0.500 0.000 0.370 [2 per cell]
Te1 0.500 0.167 0.102 [4 per cell]
Os1 0.000 0.000 0.602 [2 per cell]

The crystal system is orthorhombic.

---

No. 18
## Nd2HoP3 (GGA-PBE)

Data for a relaxed structure of Nd2HoP3.

Cell lengths 4.1065, 4.1065, 10.0561 Å; angles 90.00, 90.00, 120.00 degrees
Space group P-3m1 (No. 164)
Symmetry-distinct sites (fractional):
Nd1 0.3333 0.6667 0.3287 [2 per cell]
Ho1 0.0000 0.0000 0.0000 [1 per cell]
P1 0.0000 0.0000 0.5000 [1 per cell]
P2 0.3333 0.6667 0.8428 [2 per cell]

The crystal system is trigonal.

---

No. 19
## NdHoPb (GGA-PBE)

Data for a relaxed structure of NdHoPb.

Cell lengths 7.413, 7.413, 7.413 Å; angles 90.00, 90.00, 90.00 degrees
Space group F-43m (No. 216)
Symmetry-distinct sites (fractional):
Nd1 0.000 0.000 0.000 [4 per cell]
Ho1 0.000 0.000 0.500 [4 per cell]
Pb1 0.250 0.250 0.750 [4 per cell]

The crystal system is cubic.

---

No. 20
## NdHoPb2 (GGA-PBE)

Data for a relaxed structure of NdHoPb2.

Cell lengths 4.477, 4.587, 11.805 Å; angles 90.00, 90.00, 90.00 degrees
Space group Amm2 (No. 38)
Symmetry-distinct sites (fractional):
Nd1 0.000 0.000 0.000 [2 per cell]
Ho1 0.500 0.000 0.739 [2 per cell]
Pb1 0.000 0.000 0.270 [2 per cell]
Pb2 0.500 0.000 0.468 [2 per cell]

The crystal system is orthorhombic.

---

No. 21
## NdHo2PdPt2Pb3 (GGA-PBE)

Data for a relaxed structure of NdHo2PdPt2Pb3.

Cell lengths 4.007, 13.513, 7.753 Å; angles 90.00, 90.00, 90.00 degrees
Space group Amm2 (No. 38)
Symmetry-distinct sites (fractional):
Nd1 0.000 0.000 0.000 [2 per cell]
Ho1 0.000 0.205 0.387 [4 per cell]
Pd1 0.000 0.000 0.586 [2 per cell]
Pt1 0.500 0.171 0.094 [4 per cell]
Pb1 0.500 0.000 0.332 [2 per cell]
Pb2 0.500 0.130 0.720 [4 per cell]

The crystal system is orthorhombic.

---

No. 22
## NdHoPd (GGA-PBE)

Data for a relaxed structure of NdHoPd.

Cell lengths 6.984, 6.984, 6.984 Å; angles 90.00, 90.00, 90.00 degrees
Space group F-43m (No. 216)
Symmetry-distinct sites (fractional):
Nd1 0.000 0.000 0.000 [4 per cell]
Ho1 0.000 0.000 0.500 [4 per cell]
Pd1 0.250 0.250 0.750 [4 per cell]

The crystal system is cubic.

---

No. 23
## Nd2HoSn3PdPt2 (GGA-PBE)

Data for a relaxed structure of Nd2HoSn3PdPt2.

Cell lengths 4.088, 13.140, 7.625 Å; angles 90.00, 90.00, 90.00 degrees
Space group Amm2 (No. 38)
Symmetry-distinct sites (fractional):
Nd1 0.000 0.206 0.000 [4 per cell]
Ho1 0.000 0.000 0.385 [2 per cell]
Sn1 0.500 0.000 0.049 [2 per cell]
Sn2 0.500 0.126 0.665 [4 per cell]
Pd1 0.000 0.000 0.788 [2 per cell]
Pt1 0.500 0.162 0.297 [4 per cell]

The crystal system is orthorhombic.

---

No. 24
## NdHo2Sn3PdPt2 (GGA-PBE)

Data for a relaxed structure of NdHo2Sn3PdPt2.

Cell lengths 4.051, 13.144, 7.524 Å; angles 90.00, 90.00, 90.00 degrees
Space group Amm2 (No. 38)
Symmetry-distinct sites (fractional):
Nd1 0.000 0.000 0.000 [2 per cell]
Ho1 0.000 0.205 0.385 [4 per cell]
Sn1 0.500 0.000 0.334 [2 per cell]
Sn2 0.500 0.129 0.715 [4 per cell]
Pd1 0.000 0.000 0.584 [2 per cell]
Pt1 0.500 0.171 0.091 [4 per cell]

The crystal system is orthorhombic.

---

No. 25
## NdHo2Sn3Pd3 (GGA-PBE)

Data for a relaxed structure of NdHo2Sn3Pd3.

Cell lengths 4.050, 13.118, 7.535 Å; angles 90.00, 90.00, 90.00 degrees
Space group Amm2 (No. 38)
Symmetry-distinct sites (fractional):
Nd1 0.000 0.000 0.000 [2 per cell]
Ho1 0.000 0.204 0.386 [4 per cell]
Sn1 0.500 0.000 0.334 [2 per cell]
Sn2 0.500 0.129 0.716 [4 per cell]
Pd1 0.000 0.000 0.584 [2 per cell]
Pd2 0.500 0.171 0.091 [4 per cell]

The crystal system is orthorhombic.

---

Number 1: energy -5.078 eV/atom. Number 2: energy -5.178 eV/atom. Number 3: energy -5.006 eV/atom. Number 4: energy -7.573 eV/atom. Number 5: energy -7.753 eV/atom. Number 6: energy -7.599 eV/atom. Number 7: energy -7.574 eV/atom. Number 8: energy -6.501 eV/atom. Number 9: energy -7.806 eV/atom. Number 10: energy -7.230 eV/atom. Number 11: energy -7.585 eV/atom. Number 12: energy -7.397 eV/atom. Number 13: energy -6.166 eV/atom. Number 14: energy -7.416 eV/atom. Number 15: energy -5.818 eV/atom. Number 16: energy -5.675 eV/atom. Number 17: energy -5.809 eV/atom. Number 18: energy -6.612 eV/atom. Number 19: energy -4.567 eV/atom. Number 20: energy -4.692 eV/atom. Number 21: energy -5.512 eV/atom. Number 22: energy -5.266 eV/atom. Number 23: energy -5.845 eV/atom. Number 24: energy -5.835 eV/atom. Number 25: energy -5.533 eV/atom.